Record 1
Mn2ZnOs (GGA-PBE, optimized geometry); energy of formation = 0.162 eV/atom; total moment = 0.51 μB/atom; crystal system = trigonal; space group = R-3m, No. 166; V = 51.4 Å³/f.u.
1.0
-4.6059 -6.2317 3.8602
-4.2206 -7.4028 1.5283
-2.3876 -7.5881 3.4161
Mn Zn Os
2 1 1
Cartesian
-0.0150 -0.0284 0.0118
-5.5920 -10.5830 4.3905
-2.8035 -5.3057 2.2011
-8.4105 -15.9170 6.6034

---

Record 2
NaLi2Tl3I6 (GGA-PBE, optimized geometry); raw total energy = -2.71 eV/atom; total moment = 0.00 μB/atom; crystal system = monoclinic; space group = C2/m, No. 12; V = 440.2 Å³/f.u.
1.0
7.9843 0.0129 0.0024
-3.9790 6.9221 0.0024
-1.3336 -2.3091 7.9561
Li Tl I Na
2 3 6 1
Cartesian
3.9881 2.3208 0.0024
0.0171 4.6142 0.0024
5.3801 -0.0227 3.9805
-2.7084 4.6487 3.9805
1.3358 2.3130 3.9805
-0.0995 4.6280 6.2590
0.0548 0.0948 6.3215
4.0584 2.2268 6.2590
2.6169 4.5311 1.6395
2.7711 -0.0021 1.7020
-1.3867 2.3992 1.7020
0.0000 0.0000 0.0000

---

Record 3
H3IF (GGA-PBE, optimized geometry); energy relative to the lowest polymorph listed for this composition = 0 meV per atom; total moment = 0.00 μB/atom; crystal system = cubic; space group = Pm-3m, No. 221; V = 54.9 Å³/f.u.
1.0
3.8017 0.0000 0.0000
0.0000 3.8017 0.0000
0.0000 0.0000 3.8017
H F I
3 1 1
Cartesian
0.0000 1.9009 0.0000
0.0000 0.0000 1.9009
1.9009 0.0000 0.0000
1.9009 1.9009 1.9009
0.0000 0.0000 0.0000

---

Record 4
Sm2Y2Ho3 (GGA-PBE, optimized geometry); energy of formation = 0.116 eV/atom; energy relative to the lowest polymorph listed for this composition = 96 meV per atom; total moment = 0.00 μB/atom; crystal system = monoclinic; space group = C2/m, No. 12; V = 229.3 Å³/f.u.
1.0
3.5152 0.0000 0.0000
0.0000 8.4961 -0.7435
-1.7576 -3.5676 7.9892
Sm Y Ho
2 2 3
Cartesian
1.7576 7.2586 0.3880
0.0000 -2.3301 6.8576
0.0000 1.7502 2.1270
1.7576 3.1783 5.1187
0.0000 4.2481 -0.3717
1.7576 -0.3668 4.4614
0.0000 5.2953 2.7843

---

Record 5
DyLuCuRh (GGA-PBE, optimized geometry); energy of formation = -0.604 eV/atom; total moment = 0.00 μB/atom; crystal system = cubic; space group = F-43m, No. 216; V = 79.8 Å³/f.u.
1.0
-4.0787 -1.2809 2.2518
0.1903 -2.7799 3.9475
-1.0613 1.8716 4.3264
Rh Lu Dy Cu
1 1 1 1
Cartesian
-3.7122 -1.6419 7.8943
0.0000 0.0000 0.0000
-2.4748 -1.0946 5.2629
-1.2374 -0.5473 2.6314

---

Record 6
DyTiCu4 (GGA-PBE, optimized geometry); energy of formation = -0.044 eV/atom; total moment = 0.17 μB/atom; crystal system = cubic; space group = F-43m, No. 216; V = 92.6 Å³/f.u.
1.0
5.0790 0.0000 0.0000
2.5395 4.3985 0.0000
2.5395 1.4662 4.1470
Cu Ti Dy
4 1 1
Cartesian
5.0790 2.9323 0.5337
6.3362 3.6582 2.5867
3.8217 3.6582 2.5867
5.0790 1.4806 2.5867
2.5395 1.4662 1.0367
0.0000 0.0000 0.0000

---

Record 7
Cu2H2Se (GGA-PBE, optimized geometry); energy relative to the lowest polymorph listed for this composition = 233 meV per atom; total moment = 0.00 μB/atom; crystal system = tetragonal; space group = I4/mmm, No. 139; V = 55.1 Å³/f.u.
1.0
-2.2937 -1.6005 -1.2327
2.0116 -1.6376 -1.6168
0.2180 -5.5235 2.9766
H Cu Se
2 2 1
Cartesian
1.0443 -4.3901 -0.0325
-1.1084 -4.3715 0.1595
-0.0492 -5.7709 0.0056
-0.0149 -2.9907 0.1214
0.0000 0.0000 0.0000

---

Record 8
KIn2Cu (GGA-PBE, optimized geometry); energy of formation = 0.185 eV/atom; total moment = 0.00 μB/atom; crystal system = orthorhombic; space group = Imm2, No. 44; V = 113.9 Å³/f.u.
1.0
5.4930 -0.0133 0.0046
0.1711 5.4904 -0.0046
-2.3986 -3.1868 3.7768
In K Cu
2 1 1
Cartesian
5.3994 5.2211 0.0000
0.0571 2.2840 1.8861
2.8274 2.7340 0.0000
3.4778 0.2667 1.8907

---

Record 9
Ca3Ac8Nd (GGA-PBE, optimized geometry); energy of formation = 0.507 eV/atom; total moment = 0.00 μB/atom; crystal system = tetragonal; space group = I-42m, No. 121; V = 609.5 Å³/f.u.
1.0
8.4836 -0.7306 -4.1565
-5.0099 7.9637 -1.1229
-0.4596 0.7306 9.4359
Ac Ca Nd
8 3 1
Cartesian
0.5494 5.9512 3.8400
-4.8253 7.6702 5.0455
5.7378 0.2935 -2.2716
-3.6336 5.7758 7.8108
0.2654 2.9185 1.8849
2.8811 1.3504 -0.3165
-1.7257 2.7432 7.2978
-4.1604 6.6133 1.6482
2.6446 2.1736 4.7179
-2.7348 4.3472 4.1565
0.3694 5.7901 -0.5615
0.0000 0.0000 0.0000

---

Record 10
Pu8IrPd5 (GGA-PBE, optimized geometry); energy of formation = -0.342 eV/atom; total moment = 3.17 μB/atom; crystal system = tetragonal; space group = I-4, No. 82; V = 327.8 Å³/f.u.
1.0
7.1122 0.0000 -2.4535
-3.5448 6.1328 -2.5350
-0.0226 0.0000 7.5234
Pu Pd Ir
8 5 1
Cartesian
1.2502 3.7147 -1.0379
1.2141 5.4424 2.8366
-1.7438 4.5317 -2.0958
6.6216 0.6904 2.7668
0.9978 1.6011 1.5623
-1.7426 4.5613 1.7265
4.6153 1.5715 0.3277
2.9668 2.4181 4.0536
5.7416 2.2534 -2.4796
3.0770 3.8794 1.2464
3.5448 0.0000 2.5350
2.2300 0.7760 -1.1756
3.1758 5.3567 -2.4982
-0.0113 3.0664 3.7617

---

Record 11
La3Nd2Mg (GGA-PBE, optimized geometry); energy of formation = 0.305 eV/atom; energy relative to the lowest polymorph listed for this composition = 314 meV per atom; total moment = 0.00 μB/atom; crystal system = orthorhombic; space group = Immm, No. 71; V = 214.7 Å³/f.u.
1.0
-2.2138 2.0628 1.6523
-3.9153 -4.9647 0.9524
7.5575 -0.4761 7.1231
La Nd Mg
3 2 1
Cartesian
-1.9577 -2.4823 0.4762
-0.0931 -2.7254 6.8746
1.5215 -0.6526 2.8532
-1.6752 -2.0468 3.9077
3.1036 -1.3311 5.8201
0.0000 0.0000 0.0000

---

Record 12
InSiOs2 (GGA-PBE, optimized geometry); energy relative to the lowest polymorph listed for this composition = 178 meV per atom; total moment = 0.00 μB/atom; crystal system = tetragonal; space group = P4mm, No. 99; V = 65.7 Å³/f.u.
1.0
-2.1065 -1.6802 0.9176
1.4388 -0.4893 2.4068
-3.5988 6.3971 3.4520
Os Si In
2 1 1
Cartesian
-1.2141 0.4799 2.5065
-0.1239 0.2202 0.1188
-1.6431 2.9207 1.5761
-3.0848 3.8053 4.3010

---

Record 13
Pu6CuSi2 (GGA-PBE, optimized geometry); raw total energy = -11.02 eV/atom; total moment = 1.75 μB/atom; crystal system = hexagonal; space group = P6/mmm, No. 191; V = 149.8 Å³/f.u.
1.0
2.7139 0.0000 0.0000
0.0000 6.9135 -3.9915
0.0000 0.0000 7.9831
Pu Si Cu
6 2 1
Cartesian
1.3569 0.0000 5.3454
1.3569 6.9135 -1.3539
1.3569 4.6292 5.3104
1.3569 2.2843 -1.3188
1.3569 2.2843 1.3188
1.3569 4.6292 2.6727
2.7139 4.6090 0.0000
0.0000 2.3045 3.9915
0.0000 0.0000 7.9831

---

Record 14
TcW2Br (GGA-PBE, optimized geometry); energy relative to the lowest polymorph listed for this composition = 63 meV per atom; total moment = 0.00 μB/atom; crystal system = tetragonal; space group = P4mm, No. 99; V = 66.6 Å³/f.u.
1.0
-0.6036 -1.4826 2.6261
-2.0247 -1.7856 -1.4734
5.1193 -4.6224 -1.4331
W Tc Br
2 1 1
Cartesian
5.0733 -4.5809 -1.4202
-0.1099 -2.7214 0.2392
2.6685 -5.2302 -0.5386
2.5381 -2.2917 -0.7105

---

Record 15
CoPS2N (GGA-PBE, optimized geometry); energy relative to the lowest polymorph listed for this composition = 745 meV per atom; total moment = 0.00 μB/atom; crystal system = tetragonal; space group = P4/mmm, No. 123; V = 71.7 Å³/f.u.
1.0
4.6086 0.0000 0.0000
0.0000 4.6086 0.0000
0.0000 0.0000 3.3744
S Co N P
2 1 1 1
Cartesian
2.3043 0.0000 0.0000
0.0000 2.3043 0.0000
0.0000 0.0000 0.0000
0.0000 0.0000 1.6872
2.3043 2.3043 1.6872

---

Record 16
MgAl7Ga12 (GGA-PBE, optimized geometry); energy of formation = 0.050 eV/atom; total moment = 0.00 μB/atom; crystal system = trigonal; space group = R-3, No. 148; V = 375.8 Å³/f.u.
1.0
7.4754 0.1564 0.2348
-1.9284 7.2241 0.2348
-1.9284 -2.5658 6.7572
Ga Al Mg
12 7 1
Cartesian
-0.4748 -1.1260 4.7981
3.6152 0.1719 3.3203
1.8744 4.3062 1.4375
-0.9496 4.7242 1.1382
-1.1833 3.9190 6.4178
4.0935 5.9407 2.4286
1.7442 0.5085 5.7892
4.5682 0.0905 6.0885
4.8020 0.8958 0.8089
4.4588 3.1066 2.6991
-0.8401 1.7082 4.5277
0.0034 4.6428 3.9065
-0.3955 2.2264 1.8415
1.8093 2.4074 3.6134
0.9187 -0.1458 2.7640
1.3701 3.2074 6.2967
2.2486 1.6073 0.9300
2.7000 4.9605 4.4628
4.0141 2.5883 5.3852
0.0000 0.0000 0.0000

---

Record 17
Li2MgAu6 (GGA-PBE, optimized geometry); energy of formation = -0.313 eV/atom; energy relative to the lowest polymorph listed for this composition = 104 meV per atom; total moment = 0.00 μB/atom; crystal system = orthorhombic; space group = Immm, No. 71; V = 175.9 Å³/f.u.
1.0
3.9860 0.0000 -0.1581
0.0000 7.6274 0.0000
-1.7685 -3.8137 5.8567
Li Au Mg
2 6 1
Cartesian
2.0745 3.8137 1.9551
0.1430 0.0000 3.7435
1.9930 1.9866 -0.0791
1.9930 5.6408 -0.0791
0.0758 1.9779 1.9357
2.1418 1.8359 3.7629
2.1418 -1.8359 3.7629
0.0758 5.6496 1.9357
0.0000 0.0000 0.0000

---

Record 18
BeRu4W (GGA-PBE, optimized geometry); energy of formation = 0.515 eV/atom; total moment = 0.00 μB/atom; crystal system = cubic; space group = F-43m, No. 216; V = 89.0 Å³/f.u.
1.0
0.0000 3.5430 3.5430
3.5430 0.0000 3.5430
3.5430 3.5430 0.0000
Ru Be W
4 1 1
Cartesian
2.6524 4.4337 4.4337
4.4337 4.4337 2.6524
4.4337 2.6524 4.4337
2.6524 2.6524 2.6524
0.0000 0.0000 0.0000
5.3146 5.3146 5.3146

---

Record 19
Be3Pd2Pt (GGA-PBE, optimized geometry); energy of formation = -0.652 eV/atom; total moment = 0.00 μB/atom; crystal system = tetragonal; space group = P4/mmm, No. 123; V = 68.5 Å³/f.u.
1.0
2.8518 0.0000 0.0000
0.0000 2.8518 0.0000
0.0000 0.0000 8.4250
Pd Pt Be
2 1 3
Cartesian
1.4259 1.4259 7.0319
1.4259 1.4259 1.3930
1.4259 1.4259 4.2125
0.0000 0.0000 5.6173
0.0000 0.0000 0.0000
0.0000 0.0000 2.8077

---

Record 20
Ce2PuAu (GGA-PBE, optimized geometry); energy of formation = -0.273 eV/atom; energy relative to the lowest polymorph listed for this composition = 0 meV per atom; total moment = 1.65 μB/atom; crystal system = tetragonal; space group = P4/mmm, No. 123; V = 97.5 Å³/f.u.
1.0
-2.6432 1.0955 1.7899
-3.2823 -3.0158 -3.0013
0.6251 -4.0913 3.4274
Ce Pu Au
2 1 1
Cartesian
-1.6412 -1.5079 -1.5006
0.3126 -2.0456 1.7137
-2.6502 -3.0058 1.1080
-1.3216 0.5478 0.8949